{"formula": "CaMn7O8", "functional": "PBE+U", "state": "optimized geometry", "lattice_angstrom": [[5.577, -3.221, 0.000], [5.577, 3.221, 0.000], [-1.858, 0.000, 5.254]], "species": ["Ca", "Mn", "Mn", "Mn", "Mn", "Mn", "Mn", "Mn", "O", "O", "O", "O", "O", "O", "O", "O"], "frac_coords": [[0.000, 0.000, 0.000], [0.000, 0.500, 0.000], [0.251, 0.251, 0.502], [0.253, 0.747, 0.500], [0.500, 0.000, 0.000], [0.500, 0.500, 0.000], [0.747, 0.253, 0.500], [0.749, 0.749, 0.498], [0.127, 0.127, 0.742], [0.129, 0.616, 0.745], [0.375, 0.375, 0.247], [0.384, 0.871, 0.255], [0.616, 0.129, 0.745], [0.625, 0.625, 0.753], [0.871, 0.384, 0.255], [0.873, 0.873, 0.258]], "total_energy_ev_per_cell": -122.3, "vol_a3_per_atom": 11.80, "sg": "C2/m, No. 12", "density_g_cm3": 4.861}